# Co2BiAsO6, optimized geometry, DFT PBE with a Hubbard U
# Calculated volume = 249 Å³ per cell
# Total energy = -6.0142 eV/atom
data_Co2BiAsO6
_chemical_formula_sum 'Co4 Bi2 As2 O12'
_space_group_name_H-M_alt 'P 1'
_space_group_IT_number 1
_cell_length_a 7.0448
_cell_length_b 7.0448
_cell_length_c 5.3500
_cell_angle_alpha 90.00
_cell_angle_beta 90.00
_cell_angle_gamma 110.13
loop_
_space_group_symop_operation_xyz
'x,y,z'
loop_
_atom_site_label
_atom_site_fract_x
_atom_site_fract_y
_atom_site_fract_z
Co1 0.7743 0.6046 0.1392
O1 0.5893 0.0580 0.7211
O2 0.5660 0.4340 0.8114
O3 0.3341 0.6659 0.8201
O4 0.0580 0.5893 0.2211
As1 0.6943 0.3057 0.6395
As2 0.3057 0.6943 0.1395
O5 0.4107 0.9420 0.2211
Co2 0.2257 0.3954 0.6392
O6 0.1621 0.1720 0.3876
Co3 0.6046 0.7743 0.6392
O7 0.8379 0.8280 0.8876
Bi1 0.1050 0.8950 0.6219
O8 0.4340 0.5660 0.3114
Bi2 0.8950 0.1050 0.1219
O9 0.8280 0.8379 0.3876
O10 0.6659 0.3341 0.3201
Co4 0.3954 0.2257 0.1392
O11 0.9420 0.4107 0.7211
O12 0.1720 0.1621 0.8876